No. 1
The following is a DFT calculation (GGA-PBE) of Ag3Se4 after structural relaxation.

Values from the calculation:
- magnetization (μB per cell) = 0.000
- formation energy without anion corrections (kJ per mole of atoms) = 10.2
- space group = I4/mmm, No. 139

Unit cell a=3.637 b=3.632 c=12.269 alpha=98.51 beta=98.52 gamma=90.00
Positions (direct):
Ag1 0.788 0.288 0.577
Ag2 0.000 0.500 0.000
Ag3 0.212 0.712 0.423
Se1 0.336 0.836 0.672
Se2 0.562 0.062 0.124
Se3 0.664 0.164 0.328
Se4 0.438 0.938 0.876

No. 2
The following is a DFT calculation (GGA-PBE) of NaTl4Cu3F12 after structural relaxation.

Values from the calculation:
- magnetization (μB per cell) = 4.099
- formation energy without anion corrections (kJ per mole of atoms) = -171.7
- space group = Im-3m, No. 229

Unit cell a=7.295 b=7.295 c=7.295 alpha=109.47 beta=109.47 gamma=109.47
Positions (direct):
F1 0.274 0.274 0.000
F2 0.000 0.726 0.726
F3 0.500 0.750 0.250
F4 0.726 0.000 0.726
F5 0.500 0.250 0.750
F6 0.250 0.750 0.500
F7 0.726 0.726 0.000
F8 0.750 0.250 0.500
F9 0.750 0.500 0.250
F10 0.250 0.500 0.750
F11 0.000 0.274 0.274
F12 0.274 0.000 0.274
Tl1 0.500 0.000 0.000
Tl2 0.500 0.500 0.500
Tl3 0.000 0.500 0.000
Tl4 0.000 0.000 0.500
Cu1 0.000 0.500 0.500
Cu2 0.500 0.500 0.000
Cu3 0.500 0.000 0.500
Na1 0.000 0.000 0.000

No. 3
The following is a DFT calculation (GGA-PBE) of Tb3US4 after structural relaxation.

Values from the calculation:
- magnetization (μB per cell) = 2.610
- formation energy without anion corrections (kJ per mole of atoms) = -178.5
- space group = R-3m, No. 166

Unit cell a=3.898 b=3.898 c=13.062 alpha=81.42 beta=81.42 gamma=60.00
Positions (direct):
Tb1 0.749 0.749 0.754
Tb2 0.251 0.251 0.246
Tb3 0.500 0.500 0.500
S1 0.875 0.875 0.375
S2 0.625 0.625 0.124
S3 0.125 0.125 0.625
S4 0.375 0.375 0.876
U1 0.000 0.000 0.000

No. 4
The following is a DFT calculation (GGA-PBE) of Ba2Ce4P3O2 after structural relaxation.

Values from the calculation:
- magnetization (μB per cell) = 3.392
- formation energy without anion corrections (kJ per mole of atoms) = -165.0
- space group = I4/mmm, No. 139

Unit cell a=4.695 b=4.695 c=12.801 alpha=100.57 beta=100.57 gamma=90.00
Positions (direct):
P1 0.159 0.159 0.319
P2 0.000 0.000 0.000
P3 0.841 0.841 0.681
O1 0.590 0.590 0.180
O2 0.410 0.410 0.820
Ce1 0.925 0.425 0.849
Ce2 0.575 0.075 0.151
Ce3 0.425 0.925 0.849
Ce4 0.075 0.575 0.151
Ba1 0.300 0.300 0.599
Ba2 0.700 0.700 0.401

No. 5
The following is a DFT calculation (GGA-PBE) of Li4AsS4 after structural relaxation.

Values from the calculation:
- magnetization (μB per cell) = 0.009
- formation energy without anion corrections (kJ per mole of atoms) = -70.3
- space group = I4/m, No. 87

Unit cell a=4.418 b=6.818 c=6.818 alpha=83.98 beta=71.10 gamma=71.10
Positions (direct):
Li1 0.820 0.516 0.845
Li2 0.336 0.845 0.484
Li3 0.180 0.484 0.155
Li4 0.664 0.155 0.516
S1 0.251 0.679 0.819
S2 0.070 0.181 0.679
S3 0.749 0.321 0.181
S4 0.930 0.819 0.321
As1 0.000 0.000 0.000

No. 6
The following is a DFT calculation (GGA-PBE) of CaTb2Eu after structural relaxation.

Values from the calculation:
- magnetization (μB per cell) = 7.405
- ΔH_f (0 K) (meV per atom) = 167
- space group = Fm-3m, No. 225

Unit cell a=5.861 b=5.861 c=5.861 alpha=60.00 beta=60.00 gamma=60.00
Positions (direct):
Eu1 0.000 0.000 0.000
Ca1 0.500 0.500 0.500
Tb1 0.250 0.250 0.250
Tb2 0.750 0.750 0.750

No. 7
The following is a DFT calculation (GGA-PBE) of Sb2PdAu2 after structural relaxation.

Values from the calculation:
- magnetization (μB per cell) = 0.000
- formation energy without anion corrections (kJ per mole of atoms) = 0.0
- space group = P4/mbm, No. 127

Unit cell a=7.375 b=7.375 c=4.059 alpha=90.00 beta=90.00 gamma=90.00
Positions (direct):
Au1 0.637 0.863 0.500
Au2 0.137 0.637 0.500
Au3 0.363 0.137 0.500
Au4 0.863 0.363 0.500
Sb1 0.674 0.174 0.000
Sb2 0.326 0.826 0.000
Sb3 0.174 0.326 0.000
Sb4 0.826 0.674 0.000
Pd1 0.000 0.000 0.000
Pd2 0.500 0.500 0.000

No. 8
The following is a DFT calculation (GGA-PBE) of Ba2NiAu after structural relaxation.

Values from the calculation:
- magnetization (μB per cell) = 0.000
- ΔH_f (0 K) (meV per atom) = -230
- space group = P2/m, No. 10

Unit cell a=3.904 b=3.907 c=8.836 alpha=63.67 beta=90.00 gamma=90.00
Positions (direct):
Au1 0.500 0.750 0.750
Ba1 0.000 0.514 0.486
Ba2 0.000 0.986 0.014
Ni1 0.500 0.250 0.250

- What is the formula in the third record?
  Tb3US4

- What is the magnetization in the fifth record?
  0.009 μB per cell

- What is the formula in the seventh record?
  Sb2PdAu2

- magnetization of number 6 (CaTb2Eu)?
  7.405 μB per cell